Record 1
Density functional theory data (GGA-PBE) for a relaxed structure of Pm3Tm5In.

Summary:
Spin magnetization ... 0.00 μB/f.u.
Space group ... C2/m (12)
Raw total energy ... -4.08 eV/atom

Cell: 7.2400 7.2400 12.4507 Å, 94.94 94.94 71.02°
Element x y z (fractional)
Tm: 0.5472 0.5472 0.2530
Tm: 0.9016 0.5113 0.8046
Tm: 0.6739 0.3261 0.0000
Tm: 0.5113 0.9016 0.8046
Tm: 0.0984 0.4887 0.1954
Tm: 0.4528 0.4528 0.7470
Pm: 0.0000 0.0000 0.0000
In: 0.7968 0.7968 0.3289
Tm: 0.2531 0.2531 0.9528
Tm: 0.3261 0.6739 0.0000
Pm: 0.3371 0.3371 0.4541
Pm: 0.0513 0.0513 0.2546
In: 0.2032 0.2032 0.6711
Pm: 0.0000 0.0000 0.5000
Tm: 0.7469 0.7469 0.0472
Tm: 0.4887 0.0984 0.1954
Pm: 0.9487 0.9487 0.7454
Pm: 0.6629 0.6629 0.5459

---

Record 2
Density functional theory data (GGA-PBE) for a relaxed structure of Pm8Tm6In.

Summary:
Spin magnetization ... 0.00 μB/f.u.
Space group ... P-3 (147)
Raw total energy ... -4.42 eV/atom

Cell: 6.4834 9.2948 9.2948 Å, 120.00 90.00 90.00°
Element x y z (fractional)
Pm: 0.8446 0.3333 0.6667
Pm: 0.1554 0.6667 0.3333
Tm: 0.3348 0.5519 0.6503
Pm: 0.8212 0.7260 0.7677
Tm: 0.6652 0.6503 0.0984
Pm: 0.1788 0.9583 0.7260
Tm: 0.6652 0.9016 0.5519
Pm: 0.8212 0.0417 0.2740
Pm: 0.8212 0.2323 0.9583
Tm: 0.3348 0.0984 0.4481
In: 0.5000 0.0000 0.0000
Pm: 0.1788 0.2740 0.2323
Pm: 0.1788 0.7677 0.0417
Tm: 0.3348 0.3497 0.9016
Tm: 0.6652 0.4481 0.3497

---

Record 3
Density functional theory data (GGA-PBE) for a relaxed structure of Pm3TmIn12.

Summary:
Spin magnetization ... 0.00 μB/f.u.
Space group ... P4/mmm (123)
Raw total energy ... -3.66 eV/atom

Cell: 4.6735 4.6735 18.7695 Å, 90.00 90.00 90.00°
Element x y z (fractional)
Pm: 0.0000 0.0000 0.7526
Pm: 0.0000 0.0000 0.2474
In: 0.5000 0.5000 0.5000
In: 0.0000 0.5000 0.1213
In: 0.5000 0.5000 0.0000
In: 0.5000 0.5000 0.2490
In: 0.5000 0.0000 0.6263
In: 0.0000 0.5000 0.8787
In: 0.5000 0.5000 0.7510
Pm: 0.0000 0.0000 0.5000
In: 0.5000 0.0000 0.1213
Tm: 0.0000 0.0000 0.0000
In: 0.0000 0.5000 0.3737
In: 0.0000 0.5000 0.6263
In: 0.5000 0.0000 0.8787
In: 0.5000 0.0000 0.3737

---

Record 4
Density functional theory data (GGA-PBE) for a relaxed structure of Pm4Tm5In2.

Summary:
Spin magnetization ... 0.00 μB/f.u.
Space group ... R-3m (166)
Raw total energy ... -4.08 eV/atom

Cell: 5.2239 5.2239 15.8728 Å, 80.53 80.53 60.00°
Element x y z (fractional)
Tm: 0.6484 0.6484 0.0549
Tm: 0.5000 0.5000 0.5000
Tm: 0.3516 0.3516 0.9451
Tm: 0.8030 0.8030 0.5909
In: 0.8767 0.8767 0.3700
Pm: 0.7256 0.7256 0.8231
Pm: 0.5727 0.5727 0.2819
Pm: 0.2744 0.2744 0.1769
In: 0.1233 0.1233 0.6300
Pm: 0.4273 0.4273 0.7181
Tm: 0.1970 0.1970 0.4091

---

Record 5
Density functional theory data (GGA-PBE) for a relaxed structure of PmTm12In3.

Summary:
Spin magnetization ... 0.00 μB/f.u.
Space group ... P4/mmm (123)
Raw total energy ... -4.34 eV/atom

Cell: 4.8121 4.8121 19.5730 Å, 90.00 90.00 90.00°
Element x y z (fractional)
Tm: 0.0000 0.5000 0.6222
In: 0.0000 0.0000 0.5000
Tm: 0.5000 0.0000 0.6222
Tm: 0.5000 0.5000 0.7438
In: 0.0000 0.0000 0.2568
Tm: 0.0000 0.5000 0.1318
Tm: 0.5000 0.5000 0.0000
In: 0.0000 0.0000 0.7432
Tm: 0.0000 0.5000 0.3778
Tm: 0.0000 0.5000 0.8682
Pm: 0.0000 0.0000 0.0000
Tm: 0.5000 0.5000 0.2562
Tm: 0.5000 0.5000 0.5000
Tm: 0.5000 0.0000 0.3778
Tm: 0.5000 0.0000 0.8682
Tm: 0.5000 0.0000 0.1318

---

Record 6
Density functional theory data (GGA-PBE) for a relaxed structure of Pm6Tm3In.

Summary:
Spin magnetization ... 0.00 μB/f.u.
Space group ... P-1 (2)
Raw total energy ... -4.48 eV/atom

Cell: 3.5393 7.2685 29.7051 Å, 96.10 103.93 60.84°
Element x y z (fractional)
Pm: 0.9151 0.2520 0.1018
Pm: 0.0849 0.7480 0.8982
Pm: 0.0120 0.9164 0.7010
In: 0.0000 0.0000 0.0000
Pm: 0.4537 0.2501 0.5926
Tm: 0.5364 0.0897 0.8013
Tm: 0.4636 0.9103 0.1987
Pm: 0.4837 0.7520 0.6019
In: 0.5000 0.5000 0.5000
Pm: 0.5401 0.5832 0.7991
Pm: 0.0856 0.2500 0.9074
Pm: 0.5163 0.2480 0.3981
Tm: 0.0114 0.4101 0.6987
Pm: 0.9144 0.7500 0.0926
Pm: 0.5463 0.7499 0.4074
Tm: 0.5000 0.5000 0.0000
Pm: 0.4599 0.4168 0.2009
Tm: 0.0000 0.0000 0.5000
Tm: 0.9886 0.5899 0.3013
Pm: 0.9880 0.0836 0.2990

---

Record 7
Density functional theory data (GGA-PBE) for a relaxed structure of PmTm2In.

Summary:
Relative energy among the computed polymorphs ... 126.5 meV/atom
Spin magnetization ... 0.00 μB/f.u.
Space group ... R3m (160)

Cell: 3.5552 3.5552 11.1232 Å, 80.80 80.80 60.00°
Element x y z (fractional)
In: 0.6665 0.6665 0.0005
Tm: 0.0773 0.0773 0.7680
Pm: 0.4999 0.4999 0.5002
Tm: 0.2562 0.2562 0.2313

---

Record 8
Density functional theory data (GGA-PBE) for a relaxed structure of Pm3Tm7In2.

Summary:
Spin magnetization ... 0.00 μB/f.u.
Space group ... P2/m (10)
Raw total energy ... -4.31 eV/atom

Cell: 3.5791 5.6133 18.3192 Å, 93.54 90.00 90.00°
Element x y z (fractional)
Pm: 0.0000 0.2242 0.3657
Pm: 0.5000 0.5000 0.0000
Tm: 0.5000 0.1794 0.1695
Tm: 0.5000 0.7414 0.4578
In: 0.5000 0.7066 0.2901
Tm: 0.0000 0.6767 0.1486
Tm: 0.5000 0.2586 0.5422
Pm: 0.0000 0.7758 0.6343
Tm: 0.5000 0.8206 0.8305
In: 0.5000 0.2934 0.7099
Tm: 0.0000 0.3233 0.8514
Tm: 0.0000 0.0000 0.0000

---

Q: What is the spin magnetization in the fourth record?
A: 0.00 μB/f.u.